First-principles (PBE-GGA) data for an optimized crystal structure of SnMo3P, as listed in Alexandria.

Cell: 4.9176 4.9176 4.9176 Å, 90.00 90.00 90.00°
With the nearest neighbours (Å) after each atom.
Atoms (fractional coordinates):
Sn1 0.0000 0.0000 0.0000  6 Mo 2.46
Mo1 0.0000 0.0000 0.5000  2 Sn 2.46
Mo2 0.0000 0.5000 0.0000  2 Sn 2.46
Mo3 0.5000 0.0000 0.0000  2 Sn 2.46
P1 0.5000 0.5000 0.5000  12 Mo 3.48

Computed properties:
calculated total energy = -0.217 Ha/atom
energy relative to the elements = 2.480 eV per atom
ΔE to the lowest computed polymorph = 2099 meV per atom
density of states at the Fermi level = 7.83 states/eV/f.u.
space-group type = Pm-3m (221)
V = 118.92 Å³ per cell